*P*
The following is a PBE-GGA calculation of a relaxed PaFeCu crystal, from the Alexandria database.

Unit cell a=4.6307 b=4.3860 c=5.0654 alpha=90.00 beta=92.81 gamma=90.00
Space group P2_1/m (No. 11)
Symmetry-distinct sites (fractional):
Pa  0.2124  0.2500  0.3534 [2 per cell]
Fe  0.1794  0.2500  0.7705 [2 per cell]
Cu  0.3308  0.7500  0.0007 [2 per cell]

Properties
The calculation puts the total magnetic moment at 0.00 μB/f.u.

*Q*
The following is a PBE-GGA calculation of a relaxed PaFeCu crystal, from the Alexandria database.

Unit cell a=3.3655 b=3.3655 c=9.0095 alpha=90.00 beta=90.00 gamma=90.00
Space group I4mm (No. 107)
Symmetry-distinct sites (fractional):
Pa  0.0000  0.0000  0.0000 [2 per cell]
Fe  0.0000  0.0000  0.3716 [2 per cell]
Cu  0.0000  0.0000  0.6962 [2 per cell]

Properties
The calculation puts the total magnetic moment at 0.02 μB/f.u.

*R*
The following is a PBE-GGA calculation of a relaxed PaFeCu crystal, from the Alexandria database.

Unit cell a=3.5864 b=3.5864 c=28.3206 alpha=90.00 beta=90.00 gamma=120.00
Space group R-3m (No. 166, hexagonal axes)
Symmetry-distinct sites (fractional):
Pa  0.0000  0.0000  0.0912 [6 per cell]
Fe  0.0000  0.0000  0.1953 [6 per cell]
Cu  0.0000  0.0000  0.3545 [6 per cell]

Properties
The calculation puts the total magnetic moment at 0.00 μB/f.u.

Bottom line: *P*, by a margin of 318 meV per atom.

*P*
The following is a PBE-GGA calculation of a relaxed Fe2CuPb2 crystal, from the Alexandria database.

Unit cell a=5.0806 b=5.0806 c=7.2584 alpha=90.00 beta=90.00 gamma=90.00
Space group I4/mmm (No. 139)
Symmetry-distinct sites (fractional):
Fe  0.0000  0.0000  0.1408 [4 per cell]
Cu  0.0000  0.0000  0.5000 [2 per cell]
Pb  0.0000  0.5000  0.2500 [4 per cell]

Properties
The calculation puts the total magnetic moment at 0.00 μB/f.u.

*Q*
The following is a PBE-GGA calculation of a relaxed Fe2CuPb2 crystal, from the Alexandria database.

Unit cell a=6.6492 b=6.6492 c=4.1652 alpha=90.00 beta=90.00 gamma=90.00
Space group P4/mbm (No. 127)
Symmetry-distinct sites (fractional):
Fe  0.1256  0.3744  0.0000 [4 per cell]
Cu  0.0000  0.0000  0.0000 [2 per cell]
Pb  0.1778  0.6778  0.5000 [4 per cell]

Properties
The calculation puts the total magnetic moment at 4.99 μB/f.u.

Bottom line: *Q*, by a margin of 377 meV per atom.

*P*
The following is a PBE-GGA calculation of a relaxed FeCu2Pd6 crystal, from the Alexandria database.

Unit cell a=4.8113 b=13.5934 c=4.5533 alpha=90.00 beta=117.58 gamma=90.00
Space group C2/m (No. 12)
Symmetry-distinct sites (fractional):
Fe  0.0000  0.0000  0.0000 [2 per cell]
Cu  0.0000  0.1690  0.5000 [4 per cell]
Pd  0.1772  0.3367  0.8351 [8 per cell]
Pd  0.1857  0.5000  0.3423 [4 per cell]

Properties
The calculation puts the total magnetic moment at 4.64 μB/f.u.

*Q*
The following is a PBE-GGA calculation of a relaxed FeCu2Pd6 crystal, from the Alexandria database.

Unit cell a=8.4634 b=3.9329 c=8.1147 alpha=90.00 beta=105.72 gamma=90.00
Space group C2/m (No. 12)
Symmetry-distinct sites (fractional):
Fe  0.0000  0.0000  0.0000 [2 per cell]
Cu  0.1698  0.5000  0.2234 [4 per cell]
Pd  0.0016  0.0000  0.3214 [4 per cell]
Pd  0.1629  0.5000  0.8959 [4 per cell]
Pd  0.1665  0.5000  0.5561 [4 per cell]

Properties
The calculation puts the total magnetic moment at 4.83 μB/f.u.

Bottom line: *Q*, by a margin of 60 meV per atom.